This record from Alexandria describes P2HPdS after structural relaxation. The functional is PBE.

POSCAR file:
```
P2HPdS
1.0
3.650 0.000 0.000
0.000 3.650 0.000
0.000 0.000 4.975
P H Pd S
2 1 1 1
direct
0.000 0.500 0.000
0.500 0.000 0.000
0.000 0.000 0.000
0.500 0.500 0.500
0.000 0.000 0.500
```

DFT total energy in eV/cell: -20.208
E above lowest polymorph in meV/atom: 0.0
Calculated density in Mg/m³: 5.046

=====

This record from Alexandria describes ScPHPd2 after structural relaxation. The functional is PBE.

POSCAR file:
```
ScPHPd2
1.0
3.884 0.000 0.000
0.000 3.884 0.000
0.000 0.000 4.439
Sc P H Pd
1 1 1 2
direct
0.000 0.000 0.000
0.500 0.500 0.000
0.000 0.000 0.500
0.000 0.500 0.500
0.500 0.000 0.500
```

DFT total energy in eV/cell: -28.406
Calculated density in Mg/m³: 7.185

=====

This record from Alexandria describes PH2PdSe after structural relaxation. The functional is PBE.

POSCAR file:
```
PH2PdSe
1.0
3.558 0.000 0.000
0.000 3.558 0.000
0.000 0.000 5.017
P H Pd Se
1 2 1 1
direct
0.000 0.000 0.000
0.000 0.500 0.500
0.500 0.000 0.500
0.000 0.000 0.500
0.500 0.500 0.000
```

DFT total energy in eV/cell: -19.654
Calculated density in Mg/m³: 5.709